(1)
LiZrGaPd after structural relaxation, computed with PBE.

abc: 4.4822 4.4822 4.4822
angles: 60.00 60.00 60.00
With the nearest neighbours (Å) after each atom.
Element x y z (fractional)
Li 0.0000 0.0000 0.0000  4 Zr 2.74, 4 Pd 2.74
Zr 0.7500 0.7500 0.7500  4 Li 2.74, 4 Ga 2.74
Ga 0.5000 0.5000 0.5000  4 Zr 2.74, 4 Pd 2.74
Pd 0.2500 0.2500 0.2500  4 Li 2.74, 4 Ga 2.74

Properties
VASP energy (eV/cell): -20.55
Mass density (g/cm³): 7.15
Size of the total moment (μB per formula unit): 0.0

(2)
TbSc3C2Se2 after structural relaxation, computed with PBE.

abc: 3.5784 3.5784 12.6035
angles: 90.00 90.00 120.00
With the nearest neighbours (Å) after each atom.
Element x y z (fractional)
Tb 0.0000 0.0000 0.0000  3 C 2.47
Sc 0.0000 0.0000 0.3101  3 C 2.39
Sc 0.3333 0.6667 0.5001  3 C 2.38
Sc 0.3333 0.6667 0.7951  3 C 2.40
C 0.6667 0.3333 0.4059  6 Sc 2.38-2.39
C 0.6667 0.3333 0.8919  3 Sc 2.40, 3 Tb 2.47
Se 0.0000 0.0000 0.6480  6 Sc 2.78
Se 0.3333 0.6667 0.1649  3 Sc 2.76, 3 Tb 2.93

Properties
VASP energy (eV/cell): -58.14
Mass density (g/cm³): 5.65
Size of the total moment (μB per formula unit): 0.0

(3)
HfCdNiSn after structural relaxation, computed with PBE.

abc: 4.7380 4.7380 4.7380
angles: 60.00 60.00 60.00
With the nearest neighbours (Å) after each atom.
Element x y z (fractional)
Hf 0.0000 0.0000 0.0000  4 Cd 2.90, 4 Sn 2.90
Cd 0.7500 0.7500 0.7500  4 Hf 2.90, 4 Ni 2.90
Ni 0.5000 0.5000 0.5000  4 Cd 2.90, 4 Sn 2.90
Sn 0.2500 0.2500 0.2500  4 Hf 2.90, 4 Ni 2.90

Properties
VASP energy (eV/cell): -20.14
Mass density (g/cm³): 10.34
Size of the total moment (μB per formula unit): 0.0

(4)
TmCoOs after structural relaxation, computed with PBE.

abc: 5.1751 5.1751 5.1751
angles: 121.13 120.03 89.00
With the nearest neighbours (Å) after each atom.
Element x y z (fractional)
Tm 0.3730 0.1230 0.2500  6 Co 2.99-3.07, 6 Os 3.03, 4 Tm 3.16
Tm 0.6270 0.8770 0.7500  6 Co 2.99-3.07, 6 Os 3.03, 4 Tm 3.16
Co 0.0000 0.5000 0.5000  2 Co 2.59, 4 Os 2.59
Co 0.5000 0.5000 0.0000  2 Co 2.59, 4 Os 2.59
Os 0.0000 0.0000 0.5000  2 Os 2.54, 4 Co 2.59
Os 0.0000 0.5000 0.0000  2 Os 2.54, 4 Co 2.59

Properties
VASP energy (eV/cell): -47.55
Mass density (g/cm³): 14.30
Size of the total moment (μB per formula unit): 0.5

(5)
PmFeC after structural relaxation, computed with PBE.

abc: 5.7783 5.7783 3.6520
angles: 90.23 90.23 51.81
With the nearest neighbours (Å) after each atom.
Element x y z (fractional)
Pm 0.1520 0.1520 0.2507  2 C 2.56, 1 Fe 2.84
Pm 0.8480 0.8480 0.7493  2 C 2.56, 1 Fe 2.84
Fe 0.4253 0.4253 0.2491  3 C 1.86-1.93
Fe 0.5747 0.5747 0.7509  3 C 1.86-1.93
C 0.3894 0.3894 0.7486  3 Fe 1.86-1.93
C 0.6106 0.6106 0.2514  3 Fe 1.86-1.93

Properties
VASP energy (eV/cell): -45.68
Mass density (g/cm³): 7.38
Size of the total moment (μB per formula unit): 0.0

(6)
BeTlTcNi after structural relaxation, computed with PBE.

abc: 4.3394 4.3394 4.3394
angles: 60.00 60.00 60.00
With the nearest neighbours (Å) after each atom.
Element x y z (fractional)
Be 0.0000 0.0000 0.0000  4 Tc 2.66, 4 Ni 2.66
Tl 0.5000 0.5000 0.5000  4 Tc 2.66, 4 Ni 2.66
Tc 0.2500 0.2500 0.2500  4 Tl 2.66, 4 Be 2.66
Ni 0.7500 0.7500 0.7500  4 Tl 2.66, 4 Be 2.66

Properties
VASP energy (eV/cell): -19.87
Mass density (g/cm³): 10.64
Size of the total moment (μB per formula unit): 0.1